Record 1
A plane-wave DFT calculation with PBEsol was carried out for NaIn2Sn2 after structural relaxation.

a = 5.1221 Å, b = 5.1221 Å, c = 11.4261 Å
α = 90.00°, β = 90.00°, γ = 90.00°
With the nearest neighbours (Å) after each atom.
Atoms (fractional coordinates):
Na (0.0000, 0.0000, 0.0000)  8 In 3.84, 8 Sn 3.89
Na (0.5000, 0.5000, 0.5000)  8 In 3.84, 8 Sn 3.89
In (0.0000, 0.5000, 0.2500)  4 Sn 2.94
In (0.0000, 0.5000, 0.7500)  4 Sn 2.94
In (0.5000, 0.0000, 0.2500)  4 Sn 2.94
In (0.5000, 0.0000, 0.7500)  4 Sn 2.94
Sn (0.0000, 0.0000, 0.3768)  1 Sn 2.82, 4 In 2.94
Sn (0.0000, 0.0000, 0.6232)  1 Sn 2.82, 4 In 2.94
Sn (0.5000, 0.5000, 0.1232)  1 Sn 2.82, 4 In 2.94
Sn (0.5000, 0.5000, 0.8768)  1 Sn 2.82, 4 In 2.94

Calculated values
Formation enthalpy at 0 K, eV/f.u.: -0.23
Symmetry: I4/mmm
Raw total energy, eV per atom: -3.223
Magnetic moment, μB/atom: 0.000
ΔE to the lowest computed polymorph, meV per atom: 0


Record 2
A plane-wave DFT calculation with PBEsol was carried out for NaSrIn2 after structural relaxation.

a = 7.6979 Å, b = 7.6979 Å, c = 7.6979 Å
α = 90.00°, β = 90.00°, γ = 90.00°
With the nearest neighbours (Å) after each atom.
Atoms (fractional coordinates):
Na (0.0000, 0.0000, 0.0000)  8 In 3.33
Na (0.0000, 0.5000, 0.5000)  8 In 3.33
Na (0.5000, 0.0000, 0.5000)  8 In 3.33
Na (0.5000, 0.5000, 0.0000)  8 In 3.33
Sr (0.0000, 0.0000, 0.5000)  8 In 3.33
Sr (0.0000, 0.5000, 0.0000)  8 In 3.33
Sr (0.5000, 0.0000, 0.0000)  8 In 3.33
Sr (0.5000, 0.5000, 0.5000)  8 In 3.33
In (0.2500, 0.2500, 0.2500)  4 Na 3.33, 4 Sr 3.33
In (0.2500, 0.2500, 0.7500)  4 Na 3.33, 4 Sr 3.33
In (0.2500, 0.7500, 0.2500)  4 Na 3.33, 4 Sr 3.33
In (0.2500, 0.7500, 0.7500)  4 Na 3.33, 4 Sr 3.33
In (0.7500, 0.2500, 0.2500)  4 Na 3.33, 4 Sr 3.33
In (0.7500, 0.2500, 0.7500)  4 Na 3.33, 4 Sr 3.33
In (0.7500, 0.7500, 0.2500)  4 Na 3.33, 4 Sr 3.33
In (0.7500, 0.7500, 0.7500)  4 Na 3.33, 4 Sr 3.33

Calculated values
Formation enthalpy at 0 K, eV/f.u.: -1.03
Symmetry: Fm-3m
Raw total energy, eV per atom: -2.559
Magnetic moment, μB/atom: 0.000


Record 3
A plane-wave DFT calculation with PBEsol was carried out for NaSrIn3 after structural relaxation.

a = 6.0546 Å, b = 6.0546 Å, c = 6.0546 Å
α = 90.00°, β = 90.00°, γ = 90.00°
With the nearest neighbours (Å) after each atom.
Atoms (fractional coordinates):
Na (0.0000, 0.0000, 0.0000)  12 In 4.28
Sr (0.5000, 0.5000, 0.5000)  6 In 3.03
In (0.0000, 0.5000, 0.5000)  2 Sr 3.03
In (0.5000, 0.0000, 0.5000)  2 Sr 3.03
In (0.5000, 0.5000, 0.0000)  2 Sr 3.03

Calculated values
Formation enthalpy at 0 K, eV/f.u.: 2.87
Symmetry: Pm-3m
Raw total energy, eV per atom: -1.864
Magnetic moment, μB/atom: 0.000


Record 4
A plane-wave DFT calculation with PBEsol was carried out for NaTaIn2Tc after structural relaxation.

a = 5.4360 Å, b = 5.4360 Å, c = 4.5878 Å
α = 90.00°, β = 90.00°, γ = 90.00°
With the nearest neighbours (Å) after each atom.
Atoms (fractional coordinates):
Na (0.0000, 0.0000, 0.0000)  8 In 3.56, 4 Tc 3.84
Ta (0.5000, 0.5000, 0.5000)  2 Tc 2.29
In (0.0000, 0.5000, 0.5000)  2 Ta 2.72
In (0.5000, 0.0000, 0.5000)  2 Ta 2.72
Tc (0.5000, 0.5000, 0.0000)  2 Ta 2.29

Calculated values
Formation enthalpy at 0 K, eV/f.u.: 4.54
Symmetry: P4/mmm
Raw total energy, eV per atom: -5.328
Magnetic moment, μB/atom: 0.001


Record 5
A plane-wave DFT calculation with PBEsol was carried out for NaTlInTc2 after structural relaxation.

a = 5.0356 Å, b = 5.0356 Å, c = 4.9634 Å
α = 90.00°, β = 90.00°, γ = 90.00°
With the nearest neighbours (Å) after each atom.
Atoms (fractional coordinates):
Na (0.0000, 0.0000, 0.0000)  2 Tl 2.48
Tl (0.0000, 0.0000, 0.5000)  2 Na 2.48, 4 Tc 2.52
In (0.5000, 0.5000, 0.0000)  8 Tc 3.54, 4 Na 3.56
Tc (0.0000, 0.5000, 0.5000)  2 Tl 2.52
Tc (0.5000, 0.0000, 0.5000)  2 Tl 2.52

Calculated values
Formation enthalpy at 0 K, eV/f.u.: 8.81
Symmetry: P4/mmm
Raw total energy, eV per atom: -4.147
Magnetic moment, μB/atom: 0.781


Record 6
A plane-wave DFT calculation with PBEsol was carried out for NaInTe3 after structural relaxation.

a = 5.6735 Å, b = 5.6735 Å, c = 5.6735 Å
α = 90.00°, β = 90.00°, γ = 90.00°
With the nearest neighbours (Å) after each atom.
Atoms (fractional coordinates):
Na (0.0000, 0.0000, 0.0000)  12 Te 4.01
In (0.5000, 0.5000, 0.5000)  6 Te 2.84
Te (0.0000, 0.5000, 0.5000)  2 In 2.84
Te (0.5000, 0.0000, 0.5000)  2 In 2.84
Te (0.5000, 0.5000, 0.0000)  2 In 2.84

Calculated values
Formation energy without anion corrections, kJ/mol of formula units: 25
Symmetry: Pm-3m
Raw total energy, eV per atom: -2.941
Magnetic moment, μB/atom: 0.000


Record 7
A plane-wave DFT calculation with PBEsol was carried out for Na3InTe after structural relaxation.

a = 5.7874 Å, b = 5.7874 Å, c = 5.7874 Å
α = 90.00°, β = 90.00°, γ = 90.00°
With the nearest neighbours (Å) after each atom.
Atoms (fractional coordinates):
Na (0.0000, 0.0000, 0.5000)  2 Te 2.89
Na (0.0000, 0.5000, 0.0000)  2 Te 2.89
Na (0.5000, 0.0000, 0.0000)  2 Te 2.89
In (0.5000, 0.5000, 0.5000)  12 Na 4.09
Te (0.0000, 0.0000, 0.0000)  6 Na 2.89

Calculated values
Formation energy without anion corrections, kJ/mol of formula units: -86
Symmetry: Pm-3m
Raw total energy, eV per atom: -2.319
Magnetic moment, μB/atom: 0.001


Record 8
A plane-wave DFT calculation with PBEsol was carried out for Na2TiInTe after structural relaxation.

a = 5.6022 Å, b = 5.6022 Å, c = 5.2007 Å
α = 90.00°, β = 90.00°, γ = 90.00°
With the nearest neighbours (Å) after each atom.
Atoms (fractional coordinates):
Na (0.0000, 0.5000, 0.0000)  2 Te 2.80
Na (0.5000, 0.0000, 0.0000)  2 Te 2.80
Ti (0.0000, 0.0000, 0.5000)  2 Te 2.60
In (0.5000, 0.5000, 0.5000)  8 Na 3.82, 4 Ti 3.96
Te (0.0000, 0.0000, 0.0000)  2 Ti 2.60, 4 Na 2.80

Calculated values
Formation energy without anion corrections, kJ/mol of formula units: 117
Symmetry: P4/mmm
Raw total energy, eV per atom: -3.283
Magnetic moment, μB/atom: 0.421


Q: Look up the magnetic moment of the fourth one.
A: 0.001 μB/atom


Repeat the fourth record exactly.
A plane-wave DFT calculation with PBEsol was carried out for NaTaIn2Tc after structural relaxation.

a = 5.4360 Å, b = 5.4360 Å, c = 4.5878 Å
α = 90.00°, β = 90.00°, γ = 90.00°
With the nearest neighbours (Å) after each atom.
Atoms (fractional coordinates):
Na (0.0000, 0.0000, 0.0000)  8 In 3.56, 4 Tc 3.84
Ta (0.5000, 0.5000, 0.5000)  2 Tc 2.29
In (0.0000, 0.5000, 0.5000)  2 Ta 2.72
In (0.5000, 0.0000, 0.5000)  2 Ta 2.72
Tc (0.5000, 0.5000, 0.0000)  2 Ta 2.29

Calculated values
Formation enthalpy at 0 K, eV/f.u.: 4.54
Symmetry: P4/mmm
Raw total energy, eV per atom: -5.328
Magnetic moment, μB/atom: 0.001